Entry 1:
Mo2Br | the Alexandria database | PBE | optimized geometry; D(E_F) = 4.5 states/eV per cell; energy = -21.3 eV/f.u.; ρ = 8.5 g/cm³; uncorrected formation energy = 681 meV per atom; volume = 17.8 Å³ per atom; distance to the lowest polymorph of the same formula = 0.570 eV/atom
1.0
-2.303 -4.481 1.032
-0.281 -3.909 3.331
-5.306 2.308 4.094
Mo Br
4 2
Direct
0.650 0.650 0.466 Mo
0.350 0.350 0.534 Mo
0.743 0.743 0.832 Mo
0.257 0.257 0.168 Mo
0.025 0.025 0.774 Br
0.975 0.975 0.226 Br

***

Entry 2:
Al2InSnH | the Alexandria database | PBE | optimized geometry; D(E_F) = 1.9 states/eV per cell; energy = -16.0 eV/f.u.; ρ = 5.2 g/cm³; volume = 18.5 Å³ per atom
1.0
-0.813 0.825 -4.132
0.421 -4.888 -1.058
-4.198 -0.518 0.723
Al In Sn H
2 1 1 1
Direct
0.500 0.000 0.000 Al
0.000 0.000 0.500 Al
0.500 0.500 0.500 In
0.000 0.500 0.000 Sn
0.000 0.000 0.000 H

***

Entry 3:
AsIrO3 | the Alexandria database | PBE | optimized geometry; D(E_F) = 4.3 states/eV per cell; energy = -26.5 eV/f.u.; ρ = 9.4 g/cm³; uncorrected formation energy = 372 meV per atom; volume = 11.1 Å³ per atom
1.0
3.814 0.000 0.000
0.000 3.814 0.000
0.000 0.000 3.814
Ir O As
1 3 1
Direct
0.500 0.500 0.500 Ir
0.000 0.000 0.500 O
0.000 0.500 0.000 O
0.500 0.000 0.000 O
0.000 0.000 0.000 As

***

D(E_F) of number 1 (Mo2Br)?
4.5 states/eV per cell

***

D(E_F) of number 1 (Mo2Br)?
4.5 states/eV per cell

***

energy of number 3 (AsIrO3)?
-26.5 eV/f.u.

***

Among the records above, which one has the highest energy?
Al2InSnH